{
  "formula": "CsSn2Pd2",
  "functional": "PBE",
  "state": "optimized geometry",
  "de_polymorph_kcal_per_mol_atoms": 0.00,
  "m_tot_mub_per_cell": 0.00,
  "crystal_system": "monoclinic",
  "delta_e_f_ev_per_atom": -0.366,
  "dft_energy_ev_per_atom": -4.22,
  "lattice": [[6.961, -1.141, -1.993], [-3.463, 5.975, -2.457], [-0.107, 1.019, 7.249]],
  "species": ["Cs", "Cs", "Sn", "Sn", "Sn", "Sn", "Pd", "Pd", "Pd", "Pd"],
  "fractional_positions": [[0.113, 0.863, 0.250], [0.887, 0.137, 0.750], [0.747, 0.164, 0.213], [0.549, 0.466, 0.713], [0.451, 0.534, 0.287], [0.253, 0.836, 0.787], [0.499, 0.294, 0.997], [0.202, 0.497, 0.497], [0.501, 0.706, 0.003], [0.798, 0.503, 0.503]]
}

=====

{
  "formula": "GaAg3P",
  "functional": "PBE",
  "state": "optimized geometry",
  "de_polymorph_kcal_per_mol_atoms": 0.00,
  "m_tot_mub_per_cell": 0.00,
  "crystal_system": "cubic",
  "delta_e_f_ev_per_atom": 0.277,
  "dft_energy_ev_per_atom": -3.12,
  "lattice": [[4.822, 0.000, 0.000], [0.000, 4.822, 0.000], [0.000, 0.000, 4.822]],
  "species": ["P", "Ga", "Ag", "Ag", "Ag"],
  "fractional_positions": [[0.000, 0.000, 0.000], [0.500, 0.500, 0.500], [0.000, 0.500, 0.000], [0.000, 0.000, 0.500], [0.500, 0.000, 0.000]]
}

=====

{
  "formula": "Pr4TlHg",
  "functional": "PBE",
  "state": "optimized geometry",
  "de_polymorph_kcal_per_mol_atoms": 4.29,
  "m_tot_mub_per_cell": 0.00,
  "crystal_system": "orthorhombic",
  "delta_e_f_ev_per_atom": -0.077,
  "dft_energy_ev_per_atom": -3.71,
  "lattice": [[-1.125, 2.408, -2.760], [4.091, -5.201, -6.206], [-4.951, -3.089, -0.676]],
  "species": ["Pr", "Pr", "Pr", "Pr", "Tl", "Hg"],
  "fractional_positions": [[0.500, 0.714, 0.999], [0.500, 0.286, 0.001], [0.000, 0.204, 0.500], [0.000, 0.796, 0.500], [0.500, 0.500, 0.500], [0.000, 0.000, 0.000]]
}

=====

| no. | volume (A^3/atom) |
| --- | --- |
| 1 | 29.6 |
| 2 | 22.4 |
| 3 | 34.0 |